SrNdAl4Ni2: optimized geometry, PBE.

Mass density (g/cm3): 4.8
Final energy (eV/atom): -4.5638

a = 7.0788 Å, b = 5.8825 Å, c = 5.8825 Å
α = 40.53°, β = 90.00°, γ = 90.00°
Last column: nearest neighbours and their distance in Å.
Positions (direct):
1 Al 0.6952 0.8268 0.8268  3 Ni 2.46-2.51
2 Ni 0.0000 0.7200 0.7200  6 Al 2.46-2.48
3 Ni 0.5000 0.2803 0.2803  6 Al 2.51
4 Sr 0.5000 0.5510 0.5510  3 Ni 2.99-3.25, 6 Al 3.30-3.34
5 Nd 0.0000 0.4482 0.4482  3 Ni 3.00-3.24, 6 Al 3.26-3.31
6 Al 0.3048 0.8268 0.8268  3 Ni 2.46-2.51
7 Al 0.8130 0.1735 0.1735  3 Ni 2.48-2.51, 3 Al 2.65-2.78
8 Al 0.1870 0.1735 0.1735  3 Ni 2.48-2.51, 3 Al 2.65-2.78

Tb2NdAl3Ni3: optimized geometry, PBE.

Mass density (g/cm3): 7.1
Final energy (eV/atom): -5.2315

a = 3.9764 Å, b = 6.9499 Å, c = 6.9499 Å
α = 119.59°, β = 90.00°, γ = 90.00°
Last column: nearest neighbours and their distance in Å.
Positions (direct):
1 Tb 0.0000 0.4165 0.9993  5 Ni 2.87-2.88, 6 Al 3.15-3.20
2 Al 0.5000 0.0044 0.7697  4 Ni 2.57-2.79, 2 Al 2.78-2.82
3 Nd 0.0000 0.5809 0.5809  5 Ni 2.91-2.96, 6 Al 3.16-3.24
4 Al 0.5000 0.7697 0.0044  4 Ni 2.57-2.79, 2 Al 2.78-2.82
5 Ni 0.0000 0.0041 0.0041  6 Al 2.54-2.57
6 Al 0.5000 0.2290 0.2290  4 Ni 2.54-2.78, 2 Al 2.78
7 Ni 0.5000 0.6683 0.3278  3 Al 2.67-2.79, 4 Tb 2.87-2.88, 2 Nd 2.91
8 Ni 0.5000 0.3278 0.6683  3 Al 2.67-2.79, 4 Tb 2.87-2.88, 2 Nd 2.91
9 Tb 0.0000 0.9993 0.4165  5 Ni 2.87-2.88, 6 Al 3.15-3.20

NdTmAl4Ni2: optimized geometry, PBE.

Mass density (g/cm3): 6.1
Final energy (eV/atom): -5.0272

a = 6.9143 Å, b = 5.5595 Å, c = 5.5595 Å
α = 43.08°, β = 90.00°, γ = 90.00°
Last column: nearest neighbours and their distance in Å.
Positions (direct):
1 Ni 0.5000 0.7148 0.7148  6 Al 2.46-2.50
2 Tm 0.5000 0.4390 0.4390  3 Ni 2.85-3.09, 6 Al 3.08-3.18
3 Al 0.8004 0.8424 0.8424  3 Ni 2.46-2.54
4 Al 0.1996 0.8424 0.8424  3 Ni 2.46-2.54
5 Nd 0.0000 0.5600 0.5600  3 Ni 2.87-3.08, 4 Al 3.13
6 Al 0.3091 0.1595 0.1595  3 Ni 2.49-2.50, 1 Al 2.64
7 Al 0.6909 0.1595 0.1595  3 Ni 2.49-2.50, 1 Al 2.64
8 Ni 0.0000 0.2824 0.2824  6 Al 2.49-2.54

NdYAl4Ni2: optimized geometry, PBE.

Mass density (g/cm3): 5.2
Final energy (eV/atom): -5.2828

a = 6.9190 Å, b = 5.6340 Å, c = 5.6340 Å
α = 42.27°, β = 90.00°, γ = 90.00°
Last column: nearest neighbours and their distance in Å.
Positions (direct):
1 Al 0.8031 0.8376 0.8376  3 Ni 2.45-2.52, 1 Al 2.72
2 Ni 0.0000 0.2815 0.2815  6 Al 2.46-2.52
3 Nd 0.0000 0.5574 0.5574  3 Ni 2.90-3.11, 6 Al 3.15-3.24
4 Al 0.3080 0.1637 0.1637  3 Ni 2.46-2.49, 1 Al 2.66
5 Al 0.6920 0.1637 0.1637  3 Ni 2.46-2.49, 1 Al 2.66
6 Y 0.5000 0.4421 0.4421  3 Ni 2.88-3.12, 6 Al 3.12-3.21
7 Al 0.1969 0.8376 0.8376  3 Ni 2.45-2.52, 1 Al 2.72
8 Ni 0.5000 0.7165 0.7165  6 Al 2.45-2.49